Record 1
First-principles (GGA-PBE) data for a relaxed structure of BaCu2, as listed in Alexandria.

Calculated values
The space group is I4/mmm (139). The value obtained for the total energy is -3.198 eV/atom. For the size of the total moment, the calculation gives 0.000 μB per cell. The formation energy comes out at 174 meV/atom.

Lattice parameters (Å, degrees): 5.9990 5.9990 5.9990 145.53 145.53 49.54
Last column: nearest neighbours and their distance in Å.
Sites, in units of the cell vectors:
Ba 0.0000 0.0000 0.0000  2 Cu 3.08
Cu 0.2828 0.2828 0.0000  4 Cu 2.61
Cu 0.7172 0.7172 0.0000  4 Cu 2.61

=====

Record 2
First-principles (GGA-PBE) data for a relaxed structure of Ba4Cu, as listed in Alexandria.

Calculated values
The space group is P2_1/c (14). The value obtained for the total energy is -2.340 eV/atom. For the size of the total moment, the calculation gives 0.006 μB per cell. The formation energy comes out at 18 meV/atom.

Lattice parameters (Å, degrees): 9.1211 7.5349 9.1321 90.00 120.02 90.00
Last column: nearest neighbours and their distance in Å.
Sites, in units of the cell vectors:
Ba 0.1662 0.2494 0.3336  2 Cu 3.24
Ba 0.1662 0.2506 0.8336  2 Cu 3.24
Ba 0.3319 0.7486 0.6659  1 Cu 3.22
Ba 0.3319 0.7514 0.1659  1 Cu 3.22
Ba 0.6681 0.2486 0.8341  1 Cu 3.22
Ba 0.6681 0.2514 0.3341  1 Cu 3.22
Ba 0.8338 0.7494 0.1664  2 Cu 3.24
Ba 0.8338 0.7506 0.6664  2 Cu 3.24
Cu 0.0000 0.0000 0.0000  6 Ba 3.22-3.24
Cu 0.0000 0.5000 0.5000  6 Ba 3.22-3.24

=====

Record 3
First-principles (GGA-PBE) data for a relaxed structure of BaCu2, as listed in Alexandria.

Calculated values
The space group is Cmcm (63). The value obtained for the total energy is -3.237 eV/atom. For the size of the total moment, the calculation gives 0.000 μB per cell. The formation energy comes out at 135 meV/atom.

Lattice parameters (Å, degrees): 6.3138 6.3138 6.1796 90.00 90.00 137.79
Last column: nearest neighbours and their distance in Å.
Sites, in units of the cell vectors:
Ba 0.1298 0.8702 0.7500  8 Cu 3.10-3.43
Ba 0.8702 0.1298 0.2500  8 Cu 3.10-3.43
Cu 0.1531 0.8469 0.2500  2 Cu 2.40
Cu 0.4122 0.5878 0.7500  2 Cu 2.40
Cu 0.5878 0.4122 0.2500  2 Cu 2.40
Cu 0.8469 0.1531 0.7500  2 Cu 2.40